(1)
Computed, not measured: an optimized crystal structure of ReOsBr2 at the PBE-GGA level of DFT.

```
ReOsBr2
1.0
-2.213 1.335 3.868
-0.264 -4.436 1.378
4.117 1.858 -1.082
Re Br Os
1 2 1
Cartesian
0.333 0.821 2.704
0.000 0.000 0.000
1.307 -2.064 1.459
2.879 0.307 1.541
```

Values from the calculation:
* calculated density: 12.5 g/cm3
* ΔE to the lowest computed polymorph: 5.292 eV/f.u.
* formation energy (no corrections): 1.647 eV per atom

(2)
Computed, not measured: an optimized crystal structure of Re4OsBr at the PBE-GGA level of DFT.

```
Re4OsBr
1.0
-4.290 -1.268 2.668
-2.187 3.465 3.215
-4.571 2.173 -1.231
Re Br Os
4 1 1
Cartesian
-6.288 1.003 3.080
-4.141 1.638 1.744
-5.236 3.373 3.354
-6.429 2.726 1.127
-8.285 3.277 3.489
0.000 0.000 0.000
```

Values from the calculation:
* calculated density: 16.9 g/cm3
* formation energy (no corrections): 1.287 eV per atom

(3)
Computed, not measured: an optimized crystal structure of ReOs2Br at the PBE-GGA level of DFT.

```
ReOs2Br
1.0
4.116 0.000 0.000
0.000 2.864 0.003
0.000 1.499 5.261
Br Re Os
1 1 2
Cartesian
2.058 3.273 3.948
2.058 1.091 1.316
0.000 2.493 0.042
0.000 2.553 2.594
```

Values from the calculation:
* calculated density: 17.3 g/cm3
* ΔE to the lowest computed polymorph: 1.095 eV/f.u.
* formation energy (no corrections): 1.051 eV per atom

(4)
Computed, not measured: an optimized crystal structure of ReOs2Br at the PBE-GGA level of DFT.

```
ReOs2Br
1.0
-0.995 -1.907 4.183
3.268 -3.303 -0.728
1.954 1.663 1.223
Os Br Re
2 1 1
Cartesian
1.136 -2.605 1.727
0.000 0.000 0.000
2.611 -0.820 0.247
0.479 -0.122 2.703
```

Values from the calculation:
* calculated density: 17.1 g/cm3
* ΔE to the lowest computed polymorph: 2.430 eV/f.u.
* formation energy (no corrections): 1.385 eV per atom

(5)
Computed, not measured: an optimized crystal structure of ReOsBr2 at the PBE-GGA level of DFT.

```
ReOsBr2
1.0
-4.362 1.240 0.123
-2.131 1.182 -3.827
-3.181 -2.716 -1.757
Br Re Os
2 1 1
Cartesian
-2.419 -0.074 -1.365
-7.256 -0.221 -4.096
0.000 0.000 0.000
-4.837 -0.147 -2.730
```

Values from the calculation:
* calculated density: 13.5 g/cm3
* ΔE to the lowest computed polymorph: 5.889 eV/f.u.
* formation energy (no corrections): 1.796 eV per atom

(6)
Computed, not measured: an optimized crystal structure of ReOsBr2 at the PBE-GGA level of DFT.

```
ReOsBr2
1.0
-5.216 1.002 1.166
0.765 -0.866 -5.314
-1.662 -2.492 -0.815
Re Br Os
1 2 1
Cartesian
-0.448 -1.679 -3.065
-2.225 0.068 -2.074
0.000 0.000 0.000
-3.439 -0.745 0.175
```

Values from the calculation:
* calculated density: 12.5 g/cm3
* ΔE to the lowest computed polymorph: 4.856 eV/f.u.
* formation energy (no corrections): 1.538 eV per atom

(7)
Computed, not measured: an optimized crystal structure of ReOs2Br at the PBE-GGA level of DFT.

```
ReOs2Br
1.0
-2.550 4.750 2.722
2.480 -1.674 5.246
3.900 4.225 2.981
Os Br Re
4 2 2
Cartesian
-0.353 3.898 3.149
2.856 4.351 5.133
2.250 0.522 4.317
2.906 5.832 9.298
-0.035 1.538 3.984
3.172 2.045 6.105
0.657 5.257 4.843
0.000 0.000 0.000
```

Values from the calculation:
* calculated density: 12.1 g/cm3
* ΔE to the lowest computed polymorph: 2.576 eV/f.u.
* formation energy (no corrections): 1.421 eV per atom

(8)
Computed, not measured: an optimized crystal structure of ReOsBr2 at the PBE-GGA level of DFT.

```
ReOsBr2
1.0
5.219 -0.007 0.043
4.160 3.152 0.043
2.458 0.824 6.360
Os Br Re
1 2 1
Cartesian
6.091 2.043 2.432
9.052 3.036 4.157
9.079 3.045 0.763
2.914 0.977 2.403
```

Values from the calculation:
* calculated density: 8.5 g/cm3
* ΔE to the lowest computed polymorph: 2.149 eV/f.u.
* formation energy (no corrections): 0.861 eV per atom

(9)
Computed, not measured: an optimized crystal structure of ReOs2Br at the PBE-GGA level of DFT.

```
ReOs2Br
1.0
4.768 0.015 0.000
-1.317 4.582 0.000
0.000 0.000 2.840
Br Os Re
1 2 1
Cartesian
-0.658 2.291 1.420
1.726 2.299 0.000
0.000 0.000 0.000
2.384 0.008 1.420
```

Values from the calculation:
* calculated density: 17.3 g/cm3
* ΔE to the lowest computed polymorph: 2.194 eV/f.u.
* formation energy (no corrections): 1.325 eV per atom

(10)
Computed, not measured: an optimized crystal structure of ReOs2Br at the PBE-GGA level of DFT.

```
ReOs2Br
1.0
-0.885 -2.527 -0.429
1.540 1.140 -1.919
9.796 -4.329 5.289
Re Os Br
1 2 1
Cartesian
2.776 -1.776 0.149
4.280 -1.891 2.311
0.618 -0.273 0.334
7.675 -3.940 2.793
```

Values from the calculation:
* calculated density: 13.8 g/cm3
* ΔE to the lowest computed polymorph: 0.723 eV/f.u.
* formation energy (no corrections): 0.958 eV per atom

(11)
Computed, not measured: an optimized crystal structure of ReOs3Br at the PBE-GGA level of DFT.

```
ReOs3Br
1.0
4.487 0.000 0.000
0.000 4.487 0.000
0.000 0.000 4.487
Os Re Br
3 1 1
Cartesian
2.243 0.000 0.000
0.000 2.243 0.000
0.000 0.000 2.243
2.243 2.243 2.243
0.000 0.000 0.000
```

Values from the calculation:
* calculated density: 15.4 g/cm3
* ΔE to the lowest computed polymorph: 1.588 eV/f.u.
* formation energy (no corrections): 2.791 eV per atom

(12)
Computed, not measured: an optimized crystal structure of ReOs2Br at the PBE-GGA level of DFT.

```
ReOs2Br
1.0
-0.270 -5.111 -1.582
2.042 -1.347 -4.766
0.770 1.962 4.925
Os Re Br
2 1 1
Cartesian
1.752 -6.383 -6.275
1.857 -1.333 -1.534
0.905 -3.296 -3.240
0.688 -3.170 0.103
```

Values from the calculation:
* calculated density: 17.5 g/cm3
* ΔE to the lowest computed polymorph: 1.834 eV/f.u.
* formation energy (no corrections): 1.236 eV per atom

(13)
Computed, not measured: an optimized crystal structure of ReOsBr2 at the PBE-GGA level of DFT.

```
ReOsBr2
1.0
7.825 0.031 -0.073
7.150 3.180 -0.073
0.076 0.016 3.978
Os Re Br
1 1 2
Cartesian
11.288 2.421 2.875
3.763 0.807 0.958
9.031 1.937 1.854
13.469 2.889 -0.083
```

Values from the calculation:
* calculated density: 9.1 g/cm3
* ΔE to the lowest computed polymorph: 2.244 eV/f.u.
* formation energy (no corrections): 0.885 eV per atom

(14)
Computed, not measured: an optimized crystal structure of ReOs2Br at the PBE-GGA level of DFT.

```
ReOs2Br
1.0
-0.270 2.422 1.492
-2.454 -2.289 3.271
3.929 -0.963 2.275
Os Br Re
2 1 1
Cartesian
0.000 0.000 0.000
-1.362 0.066 2.382
0.738 -1.626 2.773
1.830 0.729 1.883
```

Values from the calculation:
* calculated density: 17.3 g/cm3
* ΔE to the lowest computed polymorph: 2.142 eV/f.u.
* formation energy (no corrections): 1.313 eV per atom

(15)
Computed, not measured: an optimized crystal structure of ReOs2Br at the PBE-GGA level of DFT.

```
ReOs2Br
1.0
2.885 -3.040 1.557
-1.484 -3.461 2.410
0.058 -4.120 -1.734
Os Br Re
2 1 1
Cartesian
0.365 -2.655 0.558
1.095 -7.966 1.675
0.000 0.000 0.000
0.730 -5.311 1.116
```

Values from the calculation:
* calculated density: 17.0 g/cm3
* ΔE to the lowest computed polymorph: 2.746 eV/f.u.
* formation energy (no corrections): 1.464 eV per atom

(16)
Computed, not measured: an optimized crystal structure of ReOs2Br at the PBE-GGA level of DFT.

```
ReOs2Br
1.0
9.055 0.011 0.006
8.602 2.826 0.006
8.602 1.382 2.465
Br Os Re
1 2 1
Cartesian
19.773 3.176 1.865
6.545 1.051 0.617
26.129 4.197 2.465
13.202 2.120 1.245
```

Values from the calculation:
* calculated density: 17.1 g/cm3
* ΔE to the lowest computed polymorph: 0.000 eV/f.u.
* formation energy (no corrections): 0.777 eV per atom

(17)
Computed, not measured: an optimized crystal structure of ReOs2Br at the PBE-GGA level of DFT.

```
ReOs2Br
1.0
-2.127 -1.744 -0.364
1.705 0.587 -2.109
6.031 -7.913 2.673
Os Re Br
2 1 1
Cartesian
0.202 -0.264 0.089
1.300 -2.561 -0.566
2.815 -3.694 1.248
4.308 -6.507 0.766
```

Values from the calculation:
* calculated density: 15.7 g/cm3
* ΔE to the lowest computed polymorph: 1.222 eV/f.u.
* formation energy (no corrections): 1.082 eV per atom

(18)
Computed, not measured: an optimized crystal structure of ReOs2Br at the PBE-GGA level of DFT.

```
ReOs2Br
1.0
-0.159 -2.789 0.681
2.871 -0.153 0.046
-0.023 1.825 7.470
Re Os Br
1 2 1
Cartesian
1.350 -1.015 2.231
0.000 0.038 0.155
-0.011 0.875 3.580
1.339 -0.102 5.966
```

Values from the calculation:
* calculated density: 16.9 g/cm3
* ΔE to the lowest computed polymorph: 0.173 eV/f.u.
* formation energy (no corrections): 0.820 eV per atom

(19)
Computed, not measured: an optimized crystal structure of ReOsBr2 at the PBE-GGA level of DFT.

```
ReOsBr2
1.0
7.731 -0.049 0.001
5.909 4.986 -0.001
-6.474 -3.427 2.476
Br Os Re
2 1 1
Cartesian
5.435 1.967 0.000
1.385 0.501 0.000
4.039 -0.504 1.238
3.128 2.014 1.237
```

Values from the calculation:
* calculated density: 9.3 g/cm3
* ΔE to the lowest computed polymorph: 2.728 eV/f.u.
* formation energy (no corrections): 1.006 eV per atom

(20)
Computed, not measured: an optimized crystal structure of ReOs2Br at the PBE-GGA level of DFT.

```
ReOs2Br
1.0
4.449 0.000 0.000
2.225 3.853 0.000
2.225 1.284 3.633
Re Os Br
1 2 1
Cartesian
6.674 3.853 2.725
2.225 1.284 0.908
0.000 0.000 0.000
4.449 2.569 1.816
```

Values from the calculation:
* calculated density: 17.2 g/cm3
* ΔE to the lowest computed polymorph: 2.253 eV/f.u.
* formation energy (no corrections): 1.340 eV per atom

(21)
Computed, not measured: an optimized crystal structure of ReOs2Br at the PBE-GGA level of DFT.

```
ReOs2Br
1.0
-1.208 2.912 -4.328
2.754 -4.546 -0.640
-1.749 -1.683 -1.525
Re Os Br
1 2 1
Cartesian
-1.478 0.614 -2.926
0.773 -0.817 -2.484
0.000 0.000 0.000
0.503 -3.115 -1.082
```

Values from the calculation:
* calculated density: 17.1 g/cm3
* ΔE to the lowest computed polymorph: 2.653 eV/f.u.
* formation energy (no corrections): 1.440 eV per atom

(22)
Computed, not measured: an optimized crystal structure of ReOsBr2 at the PBE-GGA level of DFT.

```
ReOsBr2
1.0
-0.041 -2.788 1.271
2.580 1.525 -0.640
-0.179 3.751 8.225
Br Os Re
2 1 1
Cartesian
-0.178 3.742 8.206
-0.090 1.884 4.131
1.225 0.306 2.372
1.135 2.182 6.484
```

Values from the calculation:
* calculated density: 12.6 g/cm3
* ΔE to the lowest computed polymorph: 4.898 eV/f.u.
* formation energy (no corrections): 1.548 eV per atom

(23)
Computed, not measured: an optimized crystal structure of ReOs2Br at the PBE-GGA level of DFT.

```
ReOs2Br
1.0
-4.558 2.448 0.589
-4.773 0.965 -1.844
-1.866 -3.401 2.238
Br Re Os
1 1 2
Cartesian
-2.767 -0.009 0.250
-5.306 -0.164 0.569
-2.089 -3.189 2.129
-8.500 -0.021 0.764
```

Values from the calculation:
* calculated density: 16.8 g/cm3
* ΔE to the lowest computed polymorph: 1.040 eV/f.u.
* formation energy (no corrections): 1.037 eV per atom

(24)
Computed, not measured: an optimized crystal structure of ReOsBr2 at the PBE-GGA level of DFT.

```
ReOsBr2
1.0
0.655 -1.207 8.948
2.739 0.975 8.573
-0.194 1.712 8.887
Re Br Os
1 2 1
Cartesian
1.600 0.740 13.204
0.291 0.135 2.401
2.909 1.346 24.007
0.000 0.000 0.000
```

Values from the calculation:
* calculated density: 12.5 g/cm3
* ΔE to the lowest computed polymorph: 4.113 eV/f.u.
* formation energy (no corrections): 1.352 eV per atom

(25)
Computed, not measured: an optimized crystal structure of Re2OsRuBr at the PBE-GGA level of DFT.

```
Re2OsRuBr
1.0
4.753 0.000 0.000
0.000 4.761 0.000
0.000 0.000 4.753
Os Br Re Ru
1 1 2 1
Cartesian
0.000 2.381 0.000
2.377 2.381 2.377
2.377 0.000 0.000
0.000 0.000 2.377
0.000 0.000 0.000
```

Values from the calculation:
* calculated density: 11.5 g/cm3
* formation energy (no corrections): 2.480 eV per atom

(26)
Computed, not measured: an optimized crystal structure of ReOsSe2Br at the PBE-GGA level of DFT.

```
ReOsSe2Br
1.0
4.864 0.000 0.000
0.000 4.864 0.000
0.000 0.000 5.128
Re Br Se Os
1 1 2 1
Cartesian
2.432 2.432 2.564
0.000 0.000 2.564
2.432 0.000 0.000
0.000 2.432 0.000
0.000 0.000 0.000
```

Values from the calculation:
* calculated density: 8.4 g/cm3
* ΔE to the lowest computed polymorph: 0.000 eV/f.u.
* formation energy (no corrections): 1.535 eV per atom

(27)
Computed, not measured: an optimized crystal structure of ReSi2OsBr at the PBE-GGA level of DFT.

```
ReSi2OsBr
1.0
-2.424 1.125 -3.698
-1.707 -5.186 -0.458
-3.595 0.949 2.644
Br Os Re Si
1 1 1 2
Cartesian
-0.853 -2.593 -0.229
0.000 0.000 0.000
-3.863 -1.556 -0.756
-1.212 0.562 -1.849
-1.797 0.475 1.322
```

Values from the calculation:
* calculated density: 7.5 g/cm3
* formation energy (no corrections): 1.541 eV per atom

(28)
Computed, not measured: an optimized crystal structure of OsRhBr2 at the PBE-GGA level of DFT.

```
OsRhBr2
1.0
3.096 -0.002 0.000
-1.731 2.567 0.000
0.000 0.000 10.182
Os Br Rh
1 2 1
Cartesian
0.000 0.000 5.264
0.000 0.000 9.641
0.683 1.283 3.144
0.683 1.283 7.407
```

Values from the calculation:
* calculated density: 9.3 g/cm3
* ΔE to the lowest computed polymorph: 1.602 eV/f.u.
* formation energy (no corrections): 0.769 eV per atom

(29)
Computed, not measured: an optimized crystal structure of OsRhBr2 at the PBE-GGA level of DFT.

```
OsRhBr2
1.0
0.000 3.238 3.238
3.238 0.000 3.238
3.238 3.238 0.000
Os Rh Br
1 1 2
Cartesian
3.238 3.238 3.238
0.000 0.000 0.000
4.858 4.858 4.858
1.619 1.619 1.619
```

Values from the calculation:
* calculated density: 11.1 g/cm3
* ΔE to the lowest computed polymorph: 3.656 eV/f.u.
* formation energy (no corrections): 1.282 eV per atom

(30)
Computed, not measured: an optimized crystal structure of OsRhBr2 at the PBE-GGA level of DFT.

```
OsRhBr2
1.0
2.954 0.000 0.000
0.000 5.632 0.000
0.000 0.000 4.355
Rh Br Os
1 2 1
Cartesian
0.000 2.816 2.177
1.477 2.816 0.000
0.000 0.000 0.000
1.477 0.000 2.177
```

Values from the calculation:
* calculated density: 10.4 g/cm3
* ΔE to the lowest computed polymorph: 3.039 eV/f.u.
* formation energy (no corrections): 1.128 eV per atom